VASP calculation (PBE) on an optimized crystal structure of Co2NiB2.

```
Co2NiB2
1.0
5.668 0.000 0.000
0.000 5.668 0.000
0.000 0.000 2.595
Co Ni B
4 2 4
Cartesian
0.908 1.926 0.000
1.926 4.760 0.000
3.741 0.908 0.000
4.760 3.741 0.000
0.000 0.000 1.297
2.834 2.834 1.297
0.739 3.573 1.297
2.095 0.739 1.297
3.573 4.929 1.297
4.929 2.095 1.297
```

Values from the calculation:
E_tot   -68.8 eV for the cell shown
DOS(E_F)   4.4 states/eV/f.u.
Density   7.9 g/cm3
Formation energy from the elements   -0.2093 eV/atom
Space group   P4/mbm, No. 127
Magnetization   0.0 μB/f.u.